(P)
Density functional theory data (PBE-GGA) for a geometry-optimized ZrAsSBr2 structure.

Lattice parameters (Å, degrees): 4.974 4.974 4.957 90.00 90.00 90.00
Atoms (fractional coordinates):
Zr1 0.000 0.000 0.000
As1 0.500 0.500 0.000
S1 0.500 0.500 0.500
Br1 0.000 0.500 0.500
Br2 0.500 0.000 0.500

Its volume is 122.7 Å³/cell.

(Q)
Density functional theory data (PBE-GGA) for a geometry-optimized ZrAsSBr2 structure.

Lattice parameters (Å, degrees): 5.165 5.165 5.503 90.00 90.00 90.00
Atoms (fractional coordinates):
Zr1 0.000 0.000 0.000
As1 0.000 0.000 0.500
S1 0.500 0.500 0.500
Br1 0.000 0.500 0.000
Br2 0.500 0.000 0.000

Its volume is 146.8 Å³/cell.

Which structure is the most stable? The one labeled (Q).

(P)
Density functional theory data (PBE-GGA) for a geometry-optimized SbAsBr structure.

Lattice parameters (Å, degrees): 5.079 5.079 3.229 90.00 90.00 120.00
Atoms (fractional coordinates):
Sb1 0.000 0.000 0.000
As1 0.333 0.667 0.000
Br1 0.667 0.333 0.500

Its volume is 72.1 Å³/cell.

(Q)
Density functional theory data (PBE-GGA) for a geometry-optimized SbAsBr structure.

Lattice parameters (Å, degrees): 4.943 4.943 4.943 60.00 60.00 60.00
Atoms (fractional coordinates):
Sb1 0.000 0.000 0.000
As1 0.500 0.500 0.500
Br1 0.750 0.750 0.750

Its volume is 85.4 Å³/cell.

Which structure is the most stable? The one labeled (P).

(P)
Density functional theory data (PBE-GGA) for a geometry-optimized SbAsBr structure.

Lattice parameters (Å, degrees): 7.295 7.065 3.499 79.59 72.27 28.14
Atoms (fractional coordinates):
Sb1 0.000 0.000 0.000
As1 0.635 0.635 0.365
Br1 0.335 0.335 0.665

Its volume is 79.4 Å³/cell.

(Q)
Density functional theory data (PBE-GGA) for a geometry-optimized SbAsBr structure.

Lattice parameters (Å, degrees): 3.987 3.987 6.200 90.00 90.00 120.00
Atoms (fractional coordinates):
Sb1 0.000 0.000 0.000
As1 0.667 0.333 0.233
Br1 0.333 0.667 0.646

Its volume is 85.3 Å³/cell.

(R)
Density functional theory data (PBE-GGA) for a geometry-optimized SbAsBr structure.

Lattice parameters (Å, degrees): 6.114 6.114 6.114 141.72 141.72 55.26
Atoms (fractional coordinates):
Sb1 0.000 0.000 0.000
As1 0.470 0.470 0.000
Br1 0.745 0.745 0.000

Its volume is 87.1 Å³/cell.

Which structure is the most stable? The one labeled (Q).

(P)
Density functional theory data (PBE-GGA) for a geometry-optimized SbAsBr3 structure.

Lattice parameters (Å, degrees): 5.645 5.645 5.645 90.00 90.00 90.00
Atoms (fractional coordinates):
Sb1 0.000 0.000 0.000
As1 0.500 0.500 0.500
Br1 0.000 0.000 0.500
Br2 0.000 0.500 0.000
Br3 0.500 0.000 0.000

Its volume is 179.9 Å³/cell.

(Q)
Density functional theory data (PBE-GGA) for a geometry-optimized SbAsBr3 structure.

Lattice parameters (Å, degrees): 5.394 5.394 5.394 90.00 90.00 90.00
Atoms (fractional coordinates):
Sb1 0.000 0.000 0.000
As1 0.500 0.500 0.500
Br1 0.000 0.500 0.500
Br2 0.500 0.000 0.500
Br3 0.500 0.500 0.000

Its volume is 156.9 Å³/cell.

Which structure is the most stable? The one labeled (P).